The following is a DFT calculation (PBE) of SiIBr2F after structural relaxation.

V in Å³ per cell: 136
Crystal system: tetragonal
Density in g/cm³: 4.09
Symmetry: P4/mmm, No. 123
VASP energy in eV per atom: -2.5297
ΔE_f (raw) in meV/atom: -92

The structure in CIF format:
```
data_SiIBr2F
_cell_length_a 6.025
_cell_length_b 6.025
_cell_length_c 3.735
_cell_angle_alpha 90.00
_cell_angle_beta 90.00
_cell_angle_gamma 90.00
_space_group_name_H-M_alt 'P 1'
_space_group_IT_number 1
loop_
_space_group_symop_operation_xyz
'x,y,z'
loop_
_atom_site_label
_atom_site_type_symbol
_atom_site_fract_x
_atom_site_fract_y
_atom_site_fract_z
_atom_site_occupancy
Si1 Si 0.000 0.000 0.000 1
I1 I 0.500 0.500 0.000 1
Br1 Br 0.000 0.500 0.500 1
Br2 Br 0.500 0.000 0.500 1
F1 F 0.000 0.000 0.500 1
```